# 1
! PBE K4Mg5, relaxed; values from VASP
! Calculated volume = 39.004 A^3/atom
! Density of states at the Fermi level = 12.420 states/eV per cell
! Excess energy over the best structure of this formula in the dataset = 0.662 eV/f.u.
! Total DFT energy (no corrections) = -0.0790 Ry per atom
&SYSTEM
  ibrav = 0, nat = 18, ntyp = 2
/
ATOMIC_SPECIES
K 39.10 K.upf
Mg 24.30 Mg.upf
CELL_PARAMETERS angstrom
-9.2052 2.3632 -4.7281
5.6951 -8.3162 -3.3290
-3.4792 -4.2449 4.6520
ATOMIC_POSITIONS crystal
K 0.0000 0.0000 0.0000
K 0.0000 0.0000 0.5000
K 0.0000 0.3280 0.2500
K 0.6720 0.6720 0.2500
K 0.3280 0.0000 0.2500
K 0.0000 0.6720 0.7500
K 0.3280 0.3280 0.7500
K 0.6720 0.0000 0.7500
Mg 0.0000 0.6394 0.2500
Mg 0.3606 0.3606 0.2500
Mg 0.6394 0.0000 0.2500
Mg 0.0000 0.3606 0.7500
Mg 0.6394 0.6394 0.7500
Mg 0.3606 0.0000 0.7500
Mg 0.6667 0.3333 0.0000
Mg 0.3333 0.6667 0.5000
Mg 0.3333 0.6667 0.0000
Mg 0.6667 0.3333 0.5000

# 2
! PBE KMg2, relaxed; values from VASP
! Calculated volume = 38.111 A^3/atom
! Density of states at the Fermi level = 3.640 states/eV per cell
! Total DFT energy (no corrections) = -0.0908 Ry per atom
&SYSTEM
  ibrav = 0, nat = 6, ntyp = 2
/
ATOMIC_SPECIES
K 39.10 K.upf
Mg 24.30 Mg.upf
CELL_PARAMETERS angstrom
-5.3878 -3.2754 7.1424
4.9264 -1.6103 -7.9943
4.1074 -0.8594 2.7042
ATOMIC_POSITIONS crystal
K 0.9148 0.0852 0.2500
K 0.0852 0.9148 0.7500
Mg 0.6494 0.3506 0.2500
Mg 0.3506 0.6494 0.7500
Mg 0.2489 0.7511 0.2500
Mg 0.7511 0.2489 0.7500

# 3
! PBE KMg2, relaxed; values from VASP
! Calculated volume = 36.256 A^3/atom
! Density of states at the Fermi level = 2.899 states/eV per cell
! Total DFT energy (no corrections) = -0.0965 Ry per atom
&SYSTEM
  ibrav = 0, nat = 6, ntyp = 2
/
ATOMIC_SPECIES
K 39.10 K.upf
Mg 24.30 Mg.upf
CELL_PARAMETERS angstrom
5.3281 0.0000 0.0181
0.0000 6.1061 0.0000
-2.6390 0.0000 6.6775
ATOMIC_POSITIONS crystal
K 0.7371 0.0000 0.7758
K 0.1942 0.5000 0.6887
Mg 0.4623 0.2502 0.2340
Mg 0.4623 0.7498 0.2340
Mg 0.0009 0.0000 0.3111
Mg 0.9212 0.5000 0.1509

# 4
! PBE K3Mg, relaxed; values from VASP
! Calculated volume = 58.361 A^3/atom
! Density of states at the Fermi level = 10.220 states/eV per cell
! Total DFT energy (no corrections) = -0.0801 Ry per atom
&SYSTEM
  ibrav = 0, nat = 16, ntyp = 2
/
ATOMIC_SPECIES
K 39.10 K.upf
Mg 24.30 Mg.upf
CELL_PARAMETERS angstrom
-0.0033 8.2032 6.1948
-10.3152 3.4528 -4.5778
-3.7397 -4.0552 5.3680
ATOMIC_POSITIONS crystal
K 0.0251 0.2500 0.8988
K 0.1767 0.0556 0.3708
K 0.1767 0.4444 0.3708
K 0.3233 0.5556 0.8708
K 0.3233 0.9444 0.8708
K 0.4749 0.7500 0.3988
K 0.5251 0.2500 0.6012
K 0.6767 0.0556 0.1292
K 0.6767 0.4444 0.1292
K 0.8233 0.5556 0.6292
K 0.8233 0.9444 0.6292
K 0.9749 0.7500 0.1012
Mg 0.1194 0.7500 0.5747
Mg 0.3806 0.2500 0.0747
Mg 0.6194 0.7500 0.9253
Mg 0.8806 0.2500 0.4253

# 5
! PBE KMgMn2, relaxed; values from VASP
! Calculated volume = 34.075 A^3/atom
! Density of states at the Fermi level = 10.074 states/eV per cell
! Total DFT energy (no corrections) = -0.3117 Ry per atom
&SYSTEM
  ibrav = 0, nat = 8, ntyp = 3
/
ATOMIC_SPECIES
K 39.10 K.upf
Mn 54.94 Mn.upf
Mg 24.30 Mg.upf
CELL_PARAMETERS angstrom
5.2612 0.0000 0.0000
0.0000 5.2612 0.0000
2.6306 2.6306 9.8483
ATOMIC_POSITIONS crystal
K 0.0000 0.0000 0.0000
K 0.7500 0.2500 0.5000
Mn 0.3748 0.1250 0.2500
Mn 0.3752 0.6250 0.2500
Mn 0.3750 0.6252 0.7500
Mn 0.8750 0.6248 0.7500
Mg 0.5000 0.5000 0.0000
Mg 0.2500 0.7500 0.5000

# 6
! PBE K2MgMn, relaxed; values from VASP
! Calculated volume = 35.118 A^3/atom
! Density of states at the Fermi level = 4.739 states/eV per cell
! Total DFT energy (no corrections) = -0.1893 Ry per atom
&SYSTEM
  ibrav = 0, nat = 4, ntyp = 3
/
ATOMIC_SPECIES
K 39.10 K.upf
Mg 24.30 Mg.upf
Mn 54.94 Mn.upf
CELL_PARAMETERS angstrom
-1.7993 -1.8826 -5.2321
5.3165 0.9510 -2.2331
-0.6532 -3.3675 4.7318
ATOMIC_POSITIONS crystal
K 0.0000 0.0000 0.0000
K 0.2500 0.7500 0.5000
Mg 0.5000 0.5000 0.0000
Mn 0.7500 0.2500 0.5000

# 7
! PBE K2MgMn, relaxed; values from VASP
! Calculated volume = 41.999 A^3/atom
! Density of states at the Fermi level = 3.298 states/eV per cell
! Total DFT energy (no corrections) = -0.1963 Ry per atom
&SYSTEM
  ibrav = 0, nat = 4, ntyp = 3
/
ATOMIC_SPECIES
K 39.10 K.upf
Mg 24.30 Mg.upf
Mn 54.94 Mn.upf
CELL_PARAMETERS angstrom
-2.1645 2.5227 3.9914
-0.2725 -0.2359 5.1817
7.6311 5.8578 1.4458
ATOMIC_POSITIONS crystal
K 0.9823 0.9823 0.0760
K 0.7629 0.7629 0.6753
Mg 0.5157 0.5157 0.4107
Mn 0.2392 0.2392 0.3380

# 8
! PBE K4MgMn, relaxed; values from VASP
! Calculated volume = 50.665 A^3/atom
! Density of states at the Fermi level = 5.665 states/eV per cell
! Total DFT energy (no corrections) = -0.1340 Ry per atom
&SYSTEM
  ibrav = 0, nat = 6, ntyp = 3
/
ATOMIC_SPECIES
K 39.10 K.upf
Mg 24.30 Mg.upf
Mn 54.94 Mn.upf
CELL_PARAMETERS angstrom
-6.3420 0.1326 4.0895
-5.9612 3.9529 -2.4084
-6.1603 -3.5915 -2.4725
ATOMIC_POSITIONS crystal
K 0.8754 0.3749 0.3749
K 0.3749 0.3749 0.8754
K 0.3749 0.8754 0.3749
K 0.3749 0.3749 0.3749
Mg 0.7500 0.7500 0.7500
Mn 0.0000 0.0000 0.0000

# 9
! PBE KMg14Mn, relaxed; values from VASP
! Calculated volume = 23.830 A^3/atom
! Density of states at the Fermi level = 8.350 states/eV per cell
! Excess energy over the best structure of this formula in the dataset = 0.000 eV/f.u.
! Total DFT energy (no corrections) = -0.1389 Ry per atom
&SYSTEM
  ibrav = 0, nat = 16, ntyp = 3
/
ATOMIC_SPECIES
K 39.10 K.upf
Mg 24.30 Mg.upf
Mn 54.94 Mn.upf
CELL_PARAMETERS angstrom
0.6864 5.0754 -3.9751
-2.4957 0.8371 5.9248
9.6103 1.6845 3.8101
ATOMIC_POSITIONS crystal
K 0.0000 0.0000 0.5000
Mg 0.9933 0.4966 0.0000
Mg 0.0102 0.5051 0.5000
Mg 0.5034 0.0067 0.0000
Mg 0.4949 0.9898 0.5000
Mg 0.5034 0.4966 0.0000
Mg 0.4949 0.5051 0.5000
Mg 0.1660 0.8340 0.2303
Mg 0.1660 0.8340 0.7697
Mg 0.1660 0.3320 0.2303
Mg 0.1660 0.3320 0.7697
Mg 0.6680 0.8340 0.2303
Mg 0.6680 0.8340 0.7697
Mg 0.6667 0.3333 0.2576
Mg 0.6667 0.3333 0.7424
Mn 0.0000 0.0000 0.0000

# 10
! PBE KMgMn2, relaxed; values from VASP
! Calculated volume = 26.091 A^3/atom
! Density of states at the Fermi level = 2.820 states/eV per cell
! Total DFT energy (no corrections) = -0.3354 Ry per atom
&SYSTEM
  ibrav = 0, nat = 4, ntyp = 3
/
ATOMIC_SPECIES
K 39.10 K.upf
Mg 24.30 Mg.upf
Mn 54.94 Mn.upf
CELL_PARAMETERS angstrom
5.0558 0.0083 -0.0121
4.1804 2.8435 -0.0121
0.5798 0.1790 7.2757
ATOMIC_POSITIONS crystal
K 0.2500 0.2500 0.2500
Mg 0.7500 0.7500 0.7500
Mn 0.0121 0.0121 0.8939
Mn 0.4879 0.4879 0.6061

# 11
! PBE K3MgMn, relaxed; values from VASP
! Calculated volume = 59.535 A^3/atom
! Density of states at the Fermi level = 11.618 states/eV per cell
! Excess energy over the best structure of this formula in the dataset = 0.000 eV/f.u.
! Total DFT energy (no corrections) = -0.1466 Ry per atom
&SYSTEM
  ibrav = 0, nat = 5, ntyp = 3
/
ATOMIC_SPECIES
K 39.10 K.upf
Mn 54.94 Mn.upf
Mg 24.30 Mg.upf
CELL_PARAMETERS angstrom
-4.7273 0.7726 4.6516
-0.0184 -6.5897 1.0758
4.7153 0.7488 4.6677
ATOMIC_POSITIONS crystal
K 0.0000 0.5000 0.0000
K 0.0000 0.0000 0.5000
K 0.5000 0.0000 0.0000
Mn 0.0000 0.0000 0.0000
Mg 0.5000 0.5000 0.5000

# 12
! PBE KMgMn2, relaxed; values from VASP
! Calculated volume = 23.388 A^3/atom
! Density of states at the Fermi level = 4.083 states/eV per cell
! Total DFT energy (no corrections) = -0.3146 Ry per atom
&SYSTEM
  ibrav = 0, nat = 4, ntyp = 3
/
ATOMIC_SPECIES
K 39.10 K.upf
Mg 24.30 Mg.upf
Mn 54.94 Mn.upf
CELL_PARAMETERS angstrom
5.5708 0.0000 0.0000
0.0000 5.5708 0.0000
0.0000 0.0000 3.0145
ATOMIC_POSITIONS crystal
K 0.5000 0.0000 0.5000
Mg 0.0000 0.5000 0.5000
Mn 0.0000 0.0000 0.0000
Mn 0.5000 0.5000 0.0000

The highest density of states at the Fermi level belongs to which entry?
K4Mg5